Record 1
## Ca2SbPt2 (PBE-GGA)

Data for crystalline Ca2SbPt2 at its relaxed geometry.

Summary:
Calculated density   8.6 g/cm³
Energy relative to the lowest polymorph listed for this composition   143 meV per atom
Raw formation energy   -81.0 kJ per mole of atoms
Total moment   0.00 Bohr magnetons per cell

The structure in POSCAR format:
```
Ca2SbPt2
1.0
7.345 0.000 0.000
0.000 7.345 0.000
0.000 0.000 4.237
Ca Sb Pt
4 2 4
Cartesian
1.249 2.423 0.000 Ca
2.423 6.096 0.000 Ca
4.922 1.249 0.000 Ca
6.096 4.922 0.000 Ca
0.000 0.000 2.118 Sb
3.672 3.672 2.118 Sb
0.989 4.661 2.118 Pt
2.684 0.989 2.118 Pt
4.661 6.356 2.118 Pt
6.356 2.684 2.118 Pt
```

***

Record 2
## Ca2ScSb3Pt4 (PBE-GGA)

Data for crystalline Ca2ScSb3Pt4 at its relaxed geometry.

Summary:
Calculated density   9.4 g/cm³
Raw formation energy   -83.5 kJ per mole of atoms
Total moment   0.00 Bohr magnetons per cell

The structure in POSCAR format:
```
Ca2ScSb3Pt4
1.0
4.461 0.000 0.000
0.000 4.461 0.000
0.000 0.000 11.304
Ca Sc Sb Pt
2 1 3 4
Cartesian
0.000 2.231 2.594 Ca
2.231 0.000 8.710 Ca
0.000 0.000 5.652 Sc
0.000 2.231 9.799 Sb
2.231 0.000 1.505 Sb
2.231 2.231 5.652 Sb
0.000 0.000 0.000 Pt
0.000 2.231 7.204 Pt
2.231 0.000 4.100 Pt
2.231 2.231 0.000 Pt
```

***

Record 3
## Ca2Si3SbPt4 (PBE-GGA)

Data for crystalline Ca2Si3SbPt4 at its relaxed geometry.

Summary:
Calculated density   9.3 g/cm³
Raw formation energy   -82.3 kJ per mole of atoms
Total moment   0.00 Bohr magnetons per cell

The structure in POSCAR format:
```
Ca2Si3SbPt4
1.0
4.319 0.000 0.000
0.000 4.319 0.000
0.000 0.000 10.211
Ca Si Sb Pt
2 3 1 4
Cartesian
0.000 2.159 2.459 Ca
2.159 0.000 7.752 Ca
0.000 2.159 8.988 Si
2.159 0.000 1.222 Si
2.159 2.159 5.105 Si
0.000 0.000 5.105 Sb
0.000 0.000 0.000 Pt
0.000 2.159 6.613 Pt
2.159 0.000 3.598 Pt
2.159 2.159 0.000 Pt
```

***

Record 4
## Ca2SiSbPt6 (PBE-GGA)

Data for crystalline Ca2SiSbPt6 at its relaxed geometry.

Summary:
Calculated density   11.0 g/cm³
Raw formation energy   -66.0 kJ per mole of atoms
Total moment   0.00 Bohr magnetons per cell

The structure in POSCAR format:
```
Ca2SiSbPt6
1.0
5.972 -2.782 0.000
5.972 2.782 0.000
-5.593 0.000 6.339
Ca Si Sb Pt
2 1 1 6
Cartesian
1.401 0.000 1.763 Ca
4.949 0.000 4.576 Ca
5.972 0.000 0.000 Si
-2.797 0.000 3.169 Sb
4.612 1.384 1.438 Pt
-1.938 0.000 5.653 Pt
1.739 1.384 4.901 Pt
4.612 -1.384 1.438 Pt
8.289 0.000 0.686 Pt
1.739 -1.384 4.901 Pt
```

***

Record 5
## CaSmSbPt (PBE-GGA)

Data for crystalline CaSmSbPt at its relaxed geometry.

Summary:
Calculated density   8.4 g/cm³
Raw formation energy   -88.6 kJ per mole of atoms
Total moment   0.00 Bohr magnetons per cell

The structure in POSCAR format:
```
CaSmSbPt
1.0
7.389 0.000 0.000
0.000 7.389 0.000
0.000 0.000 7.389
Ca Sm Sb Pt
4 4 4 4
Cartesian
0.000 0.000 0.000 Ca
0.000 3.694 3.694 Ca
3.694 0.000 3.694 Ca
3.694 3.694 0.000 Ca
0.000 0.000 3.694 Sm
0.000 3.694 0.000 Sm
3.694 0.000 0.000 Sm
3.694 3.694 3.694 Sm
1.847 1.847 5.541 Sb
1.847 5.541 1.847 Sb
5.541 1.847 1.847 Sb
5.541 5.541 5.541 Sb
1.847 1.847 1.847 Pt
1.847 5.541 5.541 Pt
5.541 1.847 5.541 Pt
5.541 5.541 1.847 Pt
```

***

Record 6
## Ca2Sn3SbPt4 (PBE-GGA)

Data for crystalline Ca2Sn3SbPt4 at its relaxed geometry.

Summary:
Calculated density   9.6 g/cm³
Raw formation energy   -69.9 kJ per mole of atoms
Total moment   0.00 Bohr magnetons per cell

The structure in POSCAR format:
```
Ca2Sn3SbPt4
1.0
4.638 0.000 0.000
0.000 4.638 0.000
0.000 0.000 10.732
Ca Sn Sb Pt
2 3 1 4
Cartesian
0.000 2.319 2.528 Ca
2.319 0.000 8.203 Ca
0.000 2.319 9.390 Sn
2.319 0.000 1.342 Sn
2.319 2.319 5.366 Sn
0.000 0.000 5.366 Sb
0.000 0.000 0.000 Pt
0.000 2.319 6.771 Pt
2.319 0.000 3.961 Pt
2.319 2.319 0.000 Pt
```

***

Record 7
## Ca2TbSb3Pt4 (PBE-GGA)

Data for crystalline Ca2TbSb3Pt4 at its relaxed geometry.

Summary:
Calculated density   9.8 g/cm³
Raw formation energy   -82.7 kJ per mole of atoms
Total moment   0.00 Bohr magnetons per cell

The structure in POSCAR format:
```
Ca2TbSb3Pt4
1.0
4.532 0.000 0.000
0.000 4.532 0.000
0.000 0.000 11.446
Ca Tb Sb Pt
2 1 3 4
Cartesian
0.000 2.266 2.501 Ca
2.266 0.000 8.945 Ca
0.000 0.000 5.723 Tb
0.000 2.266 9.979 Sb
2.266 0.000 1.467 Sb
2.266 2.266 5.723 Sb
0.000 0.000 0.000 Pt
0.000 2.266 7.389 Pt
2.266 0.000 4.057 Pt
2.266 2.266 0.000 Pt
```

***

Record 8
## CaSbTe2Pt (PBE-GGA)

Data for crystalline CaSbTe2Pt at its relaxed geometry.

Summary:
Calculated density   5.7 g/cm³
Energy relative to the lowest polymorph listed for this composition   1163 meV per atom
Raw formation energy   85.8 kJ per mole of atoms
Total moment   0.00 Bohr magnetons per cell

The structure in POSCAR format:
```
CaSbTe2Pt
1.0
5.609 0.000 0.000
0.000 5.609 0.000
0.000 0.000 5.686
Ca Sb Te Pt
1 1 2 1
Cartesian
0.000 0.000 0.000 Ca
0.000 0.000 2.843 Sb
0.000 2.804 0.000 Te
2.804 0.000 0.000 Te
2.804 2.804 2.843 Pt
```

***

Record 9
## CaSbTe2Pt (PBE-GGA)

Data for crystalline CaSbTe2Pt at its relaxed geometry.

Summary:
Calculated density   6.4 g/cm³
Energy relative to the lowest polymorph listed for this composition   0 meV per atom
Raw formation energy   -26.4 kJ per mole of atoms
Total moment   0.00 Bohr magnetons per cell

The structure in POSCAR format:
```
CaSbTe2Pt
1.0
5.632 0.000 0.000
0.000 5.632 0.000
0.000 0.000 4.998
Ca Sb Te Pt
1 1 2 1
Cartesian
0.000 0.000 0.000 Ca
2.816 2.816 0.000 Sb
0.000 2.816 2.499 Te
2.816 0.000 2.499 Te
2.816 2.816 2.499 Pt
```

***

Record 10
## Ca2ZnSb3Pt4 (PBE-GGA)

Data for crystalline Ca2ZnSb3Pt4 at its relaxed geometry.

Summary:
Calculated density   9.7 g/cm³
Raw formation energy   -71.1 kJ per mole of atoms
Total moment   0.00 Bohr magnetons per cell

The structure in POSCAR format:
```
Ca2ZnSb3Pt4
1.0
4.577 0.000 0.000
0.000 4.577 0.000
0.000 0.000 10.533
Ca Zn Sb Pt
2 1 3 4
Cartesian
0.000 2.289 2.593 Ca
2.289 0.000 7.940 Ca
0.000 0.000 5.266 Zn
0.000 2.289 9.143 Sb
2.289 0.000 1.390 Sb
2.289 2.289 5.266 Sb
0.000 0.000 0.000 Pt
0.000 2.289 6.554 Pt
2.289 0.000 3.979 Pt
2.289 2.289 0.000 Pt
```

***

Record 11
## CaSc4Pt (PBE-GGA)

Data for crystalline CaSc4Pt at its relaxed geometry.

Summary:
Calculated density   4.8 g/cm³
Total moment   0.00 Bohr magnetons per cell
Calculated formation energy   186 meV per atom

The structure in POSCAR format:
```
CaSc4Pt
1.0
0.000 4.143 4.143
4.143 0.000 4.143
4.143 4.143 0.000
Ca Sc Pt
1 4 1
Cartesian
0.000 0.000 0.000 Ca
3.121 3.121 3.121 Sc
5.165 5.165 3.121 Sc
5.165 3.121 5.165 Sc
3.121 5.165 5.165 Sc
6.214 6.214 6.214 Pt
```

***

Record 12
## CaSc2Pt (PBE-GGA)

Data for crystalline CaSc2Pt at its relaxed geometry.

Summary:
Calculated density   6.4 g/cm³
Energy relative to the lowest polymorph listed for this composition   156 meV per atom
Total moment   0.00 Bohr magnetons per cell
Calculated formation energy   -388 meV per atom

The structure in POSCAR format:
```
CaSc2Pt
1.0
6.953 0.000 0.000
0.000 6.953 0.000
0.000 0.000 6.953
Ca Sc Pt
4 8 4
Cartesian
0.000 0.000 0.000 Ca
0.000 3.477 3.477 Ca
3.477 0.000 3.477 Ca
3.477 3.477 0.000 Ca
1.738 1.738 1.738 Sc
1.738 1.738 5.215 Sc
1.738 5.215 1.738 Sc
1.738 5.215 5.215 Sc
5.215 1.738 1.738 Sc
5.215 1.738 5.215 Sc
5.215 5.215 1.738 Sc
5.215 5.215 5.215 Sc
0.000 0.000 3.477 Pt
0.000 3.477 0.000 Pt
3.477 0.000 0.000 Pt
3.477 3.477 3.477 Pt
```

***

Record 13
## Ca2ScPt2 (PBE-GGA)

Data for crystalline Ca2ScPt2 at its relaxed geometry.

Summary:
Calculated density   7.3 g/cm³
Energy relative to the lowest polymorph listed for this composition   454 meV per atom
Total moment   0.00 Bohr magnetons per cell
Calculated formation energy   -460 meV per atom

The structure in POSCAR format:
```
Ca2ScPt2
1.0
4.268 0.000 0.000
0.000 4.268 0.000
0.000 0.000 12.951
Ca Sc Pt
4 2 4
Cartesian
0.000 2.134 3.238 Ca
0.000 2.134 9.713 Ca
2.134 0.000 3.238 Ca
2.134 0.000 9.713 Ca
0.000 0.000 0.000 Sc
2.134 2.134 6.475 Sc
0.000 0.000 5.185 Pt
0.000 0.000 7.766 Pt
2.134 2.134 1.290 Pt
2.134 2.134 11.661 Pt
```